SrLi4Pu after structural relaxation. Source: Alexandria, functional PBE-GGA.

Lattice parameters (Å, degrees): 6.157 6.157 6.157 60.00 60.00 60.00
Element x y z (fractional)
Sr 0.000 0.000 0.000
Li 0.128 0.624 0.624
Li 0.624 0.128 0.624
Li 0.624 0.624 0.128
Li 0.624 0.624 0.624
Pu 0.250 0.250 0.250

Properties
The total magnetization is 7.70 μB/cell. The value obtained for the energy of formation is 5.19 kcal/mol of atoms.